# BeSnSb2I

A geometry-optimized BeSnSb2I structure (PBE, Alexandria).

Cell and atoms, written as CIF:
```
data_BeSnSb2I
_cell_length_a 5.7319
_cell_length_b 5.7319
_cell_length_c 5.9996
_cell_angle_alpha 90.00
_cell_angle_beta 90.00
_cell_angle_gamma 90.00
_symmetry_space_group_name_H-M 'P 1'
_symmetry_Int_Tables_number 1
loop_
_symmetry_equiv_pos_as_xyz
'x,y,z'
loop_
_atom_site_label
_atom_site_type_symbol
_atom_site_fract_x
_atom_site_fract_y
_atom_site_fract_z
Sb1 Sb 0.0000 0.5000 0.0000
Sb2 Sb 0.5000 0.0000 0.0000
Sn1 Sn 0.0000 0.0000 0.0000
I1 I 0.0000 0.0000 0.5000
Be1 Be 0.5000 0.5000 0.5000
```

## Properties
**Energy above the most stable polymorph in this dataset**: 70.6 kJ/mol of atoms
**Symmetry**: P4/mmm (123)
**Formation energy without anion corrections**: 547 kJ/mol of formula units